(1)
VASP calculation (PBE-GGA) on an optimized crystal structure of TbGd2Cd3InGa2.

Unit cell a=4.5374 b=7.3483 c=7.3483 alpha=119.93 beta=90.00 gamma=90.00
Positions (direct):
Tb 0.0000 0.0000 0.0000
Gd 0.0000 0.4369 0.8735
Gd 0.0000 0.8735 0.4369
Cd 0.5000 0.1818 0.4367
Cd 0.5000 0.4367 0.1818
Cd 0.5000 0.6917 0.6917
In 0.0000 0.4360 0.4360
Ga 0.5000 0.1031 0.7706
Ga 0.5000 0.7706 0.1031



(2)
VASP calculation (PBE-GGA) on an optimized crystal structure of Ag2GeMo.

Unit cell a=4.5665 b=4.5665 c=4.5665 alpha=60.00 beta=60.00 gamma=60.00
Positions (direct):
Ag 0.0000 0.0000 0.0000
Ag 0.2500 0.2500 0.2500
Ge 0.5000 0.5000 0.5000
Mo 0.7500 0.7500 0.7500



(3)
VASP calculation (PBE-GGA) on an optimized crystal structure of SmScAsO.

Unit cell a=4.8499 b=6.0427 c=5.9155 alpha=90.00 beta=90.00 gamma=90.00
Positions (direct):
Sm 0.0000 0.2484 0.0000
Sm 0.0000 0.7516 0.5000
Sc 0.5000 0.3574 0.6046
Sc 0.5000 0.6426 0.1046
As 0.0000 0.2363 0.4949
As 0.0000 0.7637 0.9949
O 0.5000 0.3424 0.9460
O 0.5000 0.6576 0.4460

The value obtained for the energy relative to the lowest polymorph listed for this composition is 19 meV/atom.



(4)
VASP calculation (PBE-GGA) on an optimized crystal structure of BaZrNO.

Unit cell a=4.0690 b=6.2551 c=6.1892 alpha=90.00 beta=90.00 gamma=90.00
Positions (direct):
Ba 0.0000 0.2404 0.0000
Ba 0.0000 0.7596 0.5000
Zr 0.5000 0.2859 0.4997
Zr 0.5000 0.7141 0.9997
N 0.5000 0.4980 0.2478
N 0.5000 0.5020 0.7478
O 0.0000 0.1897 0.5000
O 0.0000 0.8103 0.0000

The value obtained for the energy relative to the lowest polymorph listed for this composition is 0 meV/atom.



(5)
VASP calculation (PBE-GGA) on an optimized crystal structure of PrSmBe.

Unit cell a=4.8907 b=4.8907 c=4.8907 alpha=60.00 beta=60.00 gamma=60.00
Positions (direct):
Pr 0.0000 0.0000 0.0000
Sm 0.7500 0.7500 0.7500
Be 0.5000 0.5000 0.5000

The value obtained for the energy relative to the lowest polymorph listed for this composition is 0 meV/atom.



(6)
VASP calculation (PBE-GGA) on an optimized crystal structure of MgNbCo.

Unit cell a=4.2381 b=4.2381 c=4.2381 alpha=60.00 beta=60.00 gamma=60.00
Positions (direct):
Mg 0.0000 0.0000 0.0000
Nb 0.2500 0.2500 0.2500
Co 0.5000 0.5000 0.5000



| no. | V (Å³/cell) | calculated total energy (eV per atom) |
| --- | --- | --- |
| 1 | 212.33 | -3.3263 |
| 2 | 67.33 | -4.8421 |
| 3 | 173.36 | -7.1923 |
| 4 | 157.53 | -7.8012 |
| 5 | 82.72 | -3.5722 |
| 6 | 53.83 | -5.3261 |